Compound: NaRh4
Source: Alexandria
Functional: PBE
Structure: relaxed

```
NaRh4
1.0
4.4472 0.0000 0.0000
0.0000 4.4472 0.0000
0.0000 0.0000 4.4472
Na Rh
1 4
Cartesian
0.0000 0.0000 0.0000 Na
0.0000 0.0000 2.2236 Rh
0.0000 2.2236 0.0000 Rh
2.2236 0.0000 0.0000 Rh
2.2236 2.2236 2.2236 Rh
```

Computed properties:
The value obtained for the formation enthalpy at 0 K is 1.8241 eV/atom.


Compound: ScCr2Pd2
Source: Alexandria
Functional: PBE
Structure: relaxed

```
ScCr2Pd2
1.0
-1.6611 1.6611 7.0823
1.6611 -1.6611 7.0823
1.6611 1.6611 -7.0823
Sc Cr Pd
1 2 2
Cartesian
0.0000 0.0000 0.0000 Sc
1.6611 0.0000 3.5412 Cr
0.0000 1.6611 3.5412 Cr
0.0000 0.0000 5.6630 Pd
0.0000 0.0000 8.5016 Pd
```

Computed properties:
The value obtained for the formation enthalpy at 0 K is -0.0482 eV/atom.


Compound: PuAgH7Rh2
Source: Alexandria
Functional: PBE
Structure: relaxed

```
PuAgH7Rh2
1.0
-1.8317 1.8317 8.1357
1.8317 -1.8317 8.1357
1.8317 1.8317 -8.1357
Pu Ag H Rh
1 1 7 2
Cartesian
0.0000 0.0000 0.0000 Pu
0.0000 1.8317 4.0678 Ag
1.8317 0.0000 1.7585 H
0.0000 0.0000 4.6639 H
1.8317 0.0000 6.3772 H
0.0000 0.0000 8.1357 H
0.0000 1.8317 1.7507 H
0.0000 0.0000 11.6075 H
0.0000 1.8317 6.3850 H
0.0000 0.0000 6.3620 Rh
0.0000 0.0000 9.9094 Rh
```

Computed properties:
Its electronic total energy is -5.1717 eV per atom.


Compound: Tb2Al2Pt5Au
Source: Alexandria
Functional: PBE
Structure: relaxed

```
Tb2Al2Pt5Au
1.0
9.7726 0.0000 0.0000
0.0000 9.7726 0.0000
0.0000 0.0000 3.7550
Tb Al Pt Au
4 4 10 2
Cartesian
1.7534 3.1329 0.0000 Tb
3.1329 8.0192 0.0000 Tb
6.6397 1.7534 0.0000 Tb
8.0192 6.6397 0.0000 Tb
1.1646 6.0509 0.0000 Al
3.7216 1.1646 0.0000 Al
6.0509 8.6079 0.0000 Al
8.6079 3.7216 0.0000 Al
0.0000 4.8863 1.8775 Pt
0.6200 7.7207 1.8775 Pt
2.0519 0.6200 1.8775 Pt
2.8344 5.5063 1.8775 Pt
4.2663 2.8344 1.8775 Pt
4.8863 0.0000 1.8775 Pt
5.5063 6.9382 1.8775 Pt
6.9382 4.2663 1.8775 Pt
7.7207 9.1526 1.8775 Pt
9.1526 2.0519 1.8775 Pt
0.0000 0.0000 0.0000 Au
4.8863 4.8863 0.0000 Au
```

Computed properties:
The value obtained for the formation enthalpy at 0 K is -0.9014 eV/atom.